(one)
## Cs2BiPd2 (GGA-PBE)

Data for a relaxed Cs2BiPd2 crystal.

a = 7.538 Å, b = 7.538 Å, c = 7.538 Å
α = 141.33°, β = 141.33°, γ = 55.84°
Positions (direct):
Cs1 0.250 0.750 0.500
Cs2 0.750 0.250 0.500
Bi1 0.000 0.000 0.000
Pd1 0.404 0.404 0.000
Pd2 0.596 0.596 0.000

Calculated values
Total moment in μB per cell: 0.00
Density of states at the Fermi level in states/eV/atom: 0.453

=====

(two)
## Cs2BiPd2 (GGA-PBE)

Data for a relaxed Cs2BiPd2 crystal.

a = 7.320 Å, b = 7.320 Å, c = 6.022 Å
α = 90.00°, β = 90.00°, γ = 90.00°
Positions (direct):
Cs1 0.180 0.320 0.000
Cs2 0.320 0.820 0.000
Cs3 0.680 0.180 0.000
Cs4 0.820 0.680 0.000
Bi1 0.000 0.000 0.500
Bi2 0.500 0.500 0.500
Pd1 0.132 0.632 0.500
Pd2 0.368 0.132 0.500
Pd3 0.632 0.868 0.500
Pd4 0.868 0.368 0.500

Calculated values
Total moment in μB per cell: 0.00
Density of states at the Fermi level in states/eV/atom: 0.699

=====

Which of them is most stable? Easy: (two).

=====

(one)
## Cs2BiPt (GGA-PBE)

Data for a relaxed Cs2BiPt crystal.

a = 9.836 Å, b = 9.836 Å, c = 9.836 Å
α = 94.00°, β = 94.00°, γ = 149.39°
Positions (direct):
Cs1 0.375 0.198 0.323
Cs2 0.802 0.125 0.177
Cs3 0.875 0.052 0.677
Cs4 0.948 0.625 0.823
Bi1 0.250 0.750 0.500
Bi2 0.500 0.500 0.000
Pt1 0.000 0.000 0.000
Pt2 0.750 0.250 0.500

Calculated values
Total moment in μB per cell: 0.00
Density of states at the Fermi level in states/eV/atom: 0.656

=====

(two)
## Cs2BiPt (GGA-PBE)

Data for a relaxed Cs2BiPt crystal.

a = 6.200 Å, b = 6.200 Å, c = 6.200 Å
α = 60.00°, β = 60.00°, γ = 60.00°
Positions (direct):
Cs1 0.250 0.250 0.250
Cs2 0.750 0.750 0.750
Bi1 0.000 0.000 0.000
Pt1 0.500 0.500 0.500

Calculated values
Total moment in μB per cell: 2.14
Density of states at the Fermi level in states/eV/atom: 0.949

=====

Which of them is most stable? Easy: (one).

=====

(one)
## Cs2BiPt (GGA-PBE)

Data for a relaxed Cs2BiPt crystal.

a = 6.923 Å, b = 4.964 Å, c = 10.939 Å
α = 90.00°, β = 98.93°, γ = 90.00°
Positions (direct):
Cs1 0.223 0.250 0.438
Cs2 0.261 0.750 0.091
Cs3 0.739 0.250 0.909
Cs4 0.777 0.750 0.562
Bi1 0.305 0.750 0.740
Bi2 0.695 0.250 0.260
Pt1 0.179 0.250 0.767
Pt2 0.821 0.750 0.233

Calculated values
Total moment in μB per cell: 0.00
Density of states at the Fermi level in states/eV/atom: 0.628

=====

(two)
## Cs2BiPt (GGA-PBE)

Data for a relaxed Cs2BiPt crystal.

a = 7.107 Å, b = 7.107 Å, c = 8.167 Å
α = 90.00°, β = 90.00°, γ = 63.85°
Positions (direct):
Cs1 0.061 0.615 0.750
Cs2 0.385 0.939 0.750
Cs3 0.615 0.061 0.250
Cs4 0.939 0.385 0.250
Bi1 0.272 0.728 0.250
Bi2 0.728 0.272 0.750
Pt1 0.500 0.500 0.000
Pt2 0.500 0.500 0.500

Calculated values
Total moment in μB per cell: 0.00
Density of states at the Fermi level in states/eV/atom: 0.658

=====

Which of them is most stable? Easy: (two).

=====

(one)
## CsRbBi (GGA-PBE)

Data for a relaxed CsRbBi crystal.

a = 6.318 Å, b = 6.318 Å, c = 8.706 Å
α = 90.02°, β = 90.02°, γ = 60.03°
Positions (direct):
Cs1 0.167 0.167 0.397
Cs2 0.833 0.833 0.603
Rb1 0.166 0.166 0.941
Rb2 0.834 0.834 0.059
Bi1 0.500 0.500 0.185
Bi2 0.500 0.500 0.815

Calculated values
Total moment in μB per cell: 0.00
Density of states at the Fermi level in states/eV/atom: 0.772

=====

(two)
## CsRbBi (GGA-PBE)

Data for a relaxed CsRbBi crystal.

a = 6.354 Å, b = 6.354 Å, c = 3.807 Å
α = 90.00°, β = 90.00°, γ = 120.00°
Positions (direct):
Cs1 0.000 0.000 0.000
Rb1 0.667 0.333 0.957
Bi1 0.333 0.667 0.484

Calculated values
Total moment in μB per cell: 0.00
Density of states at the Fermi level in states/eV/atom: 0.518

=====

Which of them is most stable? Easy: (one).

=====

(one)
## CsRbBi (GGA-PBE)

Data for a relaxed CsRbBi crystal.

a = 9.457 Å, b = 9.457 Å, c = 9.457 Å
α = 40.30°, β = 40.30°, γ = 40.30°
Positions (direct):
Cs1 0.000 0.000 0.000
Cs2 0.154 0.154 0.154
Rb1 0.430 0.430 0.430
Rb2 0.588 0.588 0.588
Bi1 0.735 0.735 0.735
Bi2 0.857 0.857 0.857

Calculated values
Total moment in μB per cell: 0.00
Density of states at the Fermi level in states/eV/atom: 0.713

=====

(two)
## CsRbBi (GGA-PBE)

Data for a relaxed CsRbBi crystal.

a = 6.456 Å, b = 6.456 Å, c = 6.456 Å
α = 60.00°, β = 60.00°, γ = 60.00°
Positions (direct):
Cs1 0.000 0.000 0.000
Rb1 0.500 0.500 0.500
Bi1 0.750 0.750 0.750

Calculated values
Total moment in μB per cell: 1.02
Density of states at the Fermi level in states/eV/atom: 1.623

=====

Which of them is most stable? Easy: (one).

=====

(one)
## CsRbBi (GGA-PBE)

Data for a relaxed CsRbBi crystal.

a = 7.287 Å, b = 7.287 Å, c = 7.287 Å
α = 140.77°, β = 140.77°, γ = 56.69°
Positions (direct):
Cs1 0.000 0.000 0.000
Rb1 0.300 0.300 0.000
Bi1 0.661 0.661 0.000

Calculated values
Total moment in μB per cell: 0.18
Density of states at the Fermi level in states/eV/atom: 0.871

=====

(two)
## CsRbBi (GGA-PBE)

Data for a relaxed CsRbBi crystal.

a = 18.179 Å, b = 18.179 Å, c = 18.179 Å
α = 17.33°, β = 17.33°, γ = 17.33°
Positions (direct):
Cs1 0.208 0.208 0.208
Cs2 0.792 0.792 0.792
Rb1 0.044 0.044 0.044
Rb2 0.956 0.956 0.956
Bi1 0.338 0.338 0.338
Bi2 0.662 0.662 0.662

Calculated values
Total moment in μB per cell: 0.00
Density of states at the Fermi level in states/eV/atom: 0.533

=====

Which of them is most stable? Easy: (one).